1.
# Hf2MgH, relaxed, DFT PBE-GGA
# * distance to the lowest polymorph of the same formula: 0 kJ/mol of formula units
# * crystal system: trigonal
data_Hf2MgH
_chemical_formula_sum 'Hf6 Mg3 H3'
_symmetry_space_group_name_H-M 'R 3 m'
_symmetry_Int_Tables_number 160
_symmetry_space_group_name_Hall 'R 3 -2"'
_cell_length_a 3.1880
_cell_length_b 3.1880
_cell_length_c 23.5033
_cell_angle_alpha 90.00
_cell_angle_beta 90.00
_cell_angle_gamma 120.00
loop_
_atom_site_label
_atom_site_fract_x
_atom_site_fract_y
_atom_site_fract_z
Hf1 0.0000 0.0000 0.0000
Hf2 0.0000 0.0000 0.2235
Mg1 0.0000 0.0000 0.7782
H1 0.0000 0.0000 0.6123


2.
# TmSbCl, relaxed, DFT PBE-GGA
# * distance to the lowest polymorph of the same formula: 0 kJ/mol of formula units
# * crystal system: monoclinic
# * uncorrected formation energy: -1.2602 eV/atom
data_TmSbCl
_chemical_formula_sum 'Tm4 Sb4 Cl4'
_symmetry_space_group_name_H-M 'P 1 21/c 1'
_symmetry_Int_Tables_number 14
_symmetry_space_group_name_Hall '-P 2ybc'
_cell_length_a 6.1035
_cell_length_b 7.6573
_cell_length_c 7.7087
_cell_angle_alpha 90.00
_cell_angle_beta 91.23
_cell_angle_gamma 90.00
loop_
_atom_site_label
_atom_site_fract_x
_atom_site_fract_y
_atom_site_fract_z
Tm1 0.0469 0.2016 0.2032
Sb1 0.2465 0.5442 0.9868
Cl1 0.2326 0.0634 0.9268


3.
# TlTc2Ru, relaxed, DFT PBE-GGA
# * E_form: 0.63 eV per atom
# * distance to the lowest polymorph of the same formula: 89 kJ/mol of formula units
# * crystal system: orthorhombic
data_TlTc2Ru
_chemical_formula_sum 'Tl2 Tc4 Ru2'
_symmetry_space_group_name_H-M 'I m m 2'
_symmetry_Int_Tables_number 44
_symmetry_space_group_name_Hall 'I 2 -2'
_cell_length_a 3.1317
_cell_length_b 4.6174
_cell_length_c 9.0165
_cell_angle_alpha 90.00
_cell_angle_beta 90.00
_cell_angle_gamma 90.00
loop_
_atom_site_label
_atom_site_fract_x
_atom_site_fract_y
_atom_site_fract_z
Tl1 0.0000 0.0000 0.0000
Tc1 0.0000 0.0000 0.5124
Tc2 0.0000 0.5000 0.2380
Ru1 0.0000 0.5000 0.7586


4.
# ErNpSc, relaxed, DFT PBE-GGA
# * E_form: 0.20 eV per atom
# * distance to the lowest polymorph of the same formula: 0 kJ/mol of formula units
# * crystal system: monoclinic
data_ErNpSc
_chemical_formula_sum 'Er4 Np4 Sc4'
_symmetry_space_group_name_H-M 'C 1 2/m 1'
_symmetry_Int_Tables_number 12
_symmetry_space_group_name_Hall '-C 2y'
_cell_length_a 15.6455
_cell_length_b 3.4863
_cell_length_c 5.5988
_cell_angle_alpha 90.00
_cell_angle_beta 94.67
_cell_angle_gamma 90.00
loop_
_atom_site_label
_atom_site_fract_x
_atom_site_fract_y
_atom_site_fract_z
Er1 0.0990 0.0000 0.3449
Np1 0.2428 0.0000 0.8539
Sc1 0.0820 0.5000 0.8406


5.
# K2PrOsO6, relaxed, DFT PBE-GGA
# * crystal system: cubic
# * uncorrected formation energy: -1.8636 eV/atom
data_K2PrOsO6
_chemical_formula_sum 'K8 Pr4 Os4 O24'
_symmetry_space_group_name_H-M 'F m -3 m'
_symmetry_Int_Tables_number 225
_symmetry_space_group_name_Hall '-F 4 2 3'
_cell_length_a 8.5431
_cell_length_b 8.5431
_cell_length_c 8.5431
_cell_angle_alpha 90.00
_cell_angle_beta 90.00
_cell_angle_gamma 90.00
loop_
_atom_site_label
_atom_site_fract_x
_atom_site_fract_y
_atom_site_fract_z
K1 0.2500 0.2500 0.2500
Pr1 0.0000 0.0000 0.0000
Os1 0.0000 0.0000 0.5000
O1 0.0000 0.0000 0.2772


6.
# VHgS2N, relaxed, DFT PBE-GGA
# * distance to the lowest polymorph of the same formula: 0 kJ/mol of formula units
# * crystal system: tetragonal
# * uncorrected formation energy: 0.0811 eV/atom
data_VHgS2N
_chemical_formula_sum 'V1 Hg1 S2 N1'
_symmetry_space_group_name_H-M 'P 4/m m m'
_symmetry_Int_Tables_number 123
_symmetry_space_group_name_Hall '-P 4 2'
_cell_length_a 4.8211
_cell_length_b 4.8211
_cell_length_c 3.6545
_cell_angle_alpha 90.00
_cell_angle_beta 90.00
_cell_angle_gamma 90.00
loop_
_atom_site_label
_atom_site_fract_x
_atom_site_fract_y
_atom_site_fract_z
V1 0.0000 0.0000 0.0000
Hg1 0.5000 0.5000 0.5000
S1 0.0000 0.5000 0.0000
N1 0.0000 0.0000 0.5000


7.
# Pt2RhBr, relaxed, DFT PBE-GGA
# * distance to the lowest polymorph of the same formula: 130 kJ/mol of formula units
# * crystal system: tetragonal
# * uncorrected formation energy: 0.7240 eV/atom
data_Pt2RhBr
_chemical_formula_sum 'Pt2 Rh1 Br1'
_symmetry_space_group_name_H-M 'P 4/m m m'
_symmetry_Int_Tables_number 123
_symmetry_space_group_name_Hall '-P 4 2'
_cell_length_a 3.8801
_cell_length_b 3.8801
_cell_length_c 4.4573
_cell_angle_alpha 90.00
_cell_angle_beta 90.00
_cell_angle_gamma 90.00
loop_
_atom_site_label
_atom_site_fract_x
_atom_site_fract_y
_atom_site_fract_z
Pt1 0.0000 0.5000 0.0000
Rh1 0.0000 0.0000 0.5000
Br1 0.5000 0.5000 0.5000


8.
# HfTe2SI, relaxed, DFT PBE-GGA
# * distance to the lowest polymorph of the same formula: 209 kJ/mol of formula units
# * crystal system: tetragonal
# * uncorrected formation energy: 0.6512 eV/atom
data_HfTe2SI
_chemical_formula_sum 'Hf1 Te2 S1 I1'
_symmetry_space_group_name_H-M 'P 4/m m m'
_symmetry_Int_Tables_number 123
_symmetry_space_group_name_Hall '-P 4 2'
_cell_length_a 5.1814
_cell_length_b 5.1814
_cell_length_c 5.3611
_cell_angle_alpha 90.00
_cell_angle_beta 90.00
_cell_angle_gamma 90.00
loop_
_atom_site_label
_atom_site_fract_x
_atom_site_fract_y
_atom_site_fract_z
Hf1 0.0000 0.0000 0.0000
Te1 0.0000 0.5000 0.5000
S1 0.5000 0.5000 0.5000
I1 0.5000 0.5000 0.0000


| no. | spin magnetization (μB per cell) |
| --- | --- |
| 1 | 0.04 |
| 2 | 0.00 |
| 3 | 0.00 |
| 4 | 0.00 |
| 5 | 0.01 |
| 6 | 0.00 |
| 7 | 0.00 |
| 8 | 1.09 |